Density functional theory data (GGA-PBE) for a geometry-optimized RbSeS structure.

Lattice parameters (Å, degrees): 8.289 8.289 6.194 92.89 92.89 34.75
Positions (direct):
Rb 0.122 0.122 0.262
Rb 0.878 0.878 0.738
Se 0.438 0.438 0.155
Se 0.562 0.562 0.845
S 0.335 0.335 0.371
S 0.665 0.665 0.629

Values from the calculation:
VASP energy: -10.12 eV/f.u.
distance to the lowest polymorph of the same formula: 127 meV/atom
formation energy (no corrections): -0.51 eV per atom
space-group type: C2/m (12)

***

Density functional theory data (GGA-PBE) for a geometry-optimized Tb2TmAu3 structure.

Lattice parameters (Å, degrees): 5.076 5.076 6.258 90.00 90.00 120.00
Positions (direct):
Tb 0.333 0.667 0.169
Tb 0.667 0.333 0.831
Tm 0.000 0.000 0.500
Au 0.000 0.000 0.000
Au 0.333 0.667 0.662
Au 0.667 0.333 0.338

Values from the calculation:
VASP energy: -28.75 eV/f.u.
distance to the lowest polymorph of the same formula: 3 meV/atom
formation enthalpy at 0 K: -0.865 eV/atom
space-group type: P-3m1 (164)

***

Density functional theory data (GGA-PBE) for a geometry-optimized TbNdYIn structure.

Lattice parameters (Å, degrees): 5.512 5.512 5.512 60.00 60.00 60.00
Positions (direct):
Tb 0.000 0.000 0.000
Nd 0.250 0.250 0.250
Y 0.500 0.500 0.500
In 0.750 0.750 0.750

Values from the calculation:
VASP energy: -19.04 eV/f.u.
distance to the lowest polymorph of the same formula: 160 meV/atom
formation enthalpy at 0 K: -0.111 eV/atom
space-group type: F-43m (216)

***

Density functional theory data (GGA-PBE) for a geometry-optimized PrDyLuPu structure.

Lattice parameters (Å, degrees): 5.623 5.623 5.623 60.00 60.00 60.00
Positions (direct):
Pr 0.000 0.000 0.000
Dy 0.750 0.750 0.750
Lu 0.250 0.250 0.250
Pu 0.500 0.500 0.500

Values from the calculation:
VASP energy: -27.41 eV/f.u.
formation enthalpy at 0 K: 0.205 eV/atom
space-group type: F-43m (216)

***

Density functional theory data (GGA-PBE) for a geometry-optimized FeSi structure.

Lattice parameters (Å, degrees): 5.936 5.936 5.936 96.04 96.04 142.15
Positions (direct):
Fe 0.092 0.614 0.706
Fe 0.386 0.092 0.478
Fe 0.614 0.908 0.522
Fe 0.908 0.386 0.294
Si 0.150 0.246 0.397
Si 0.246 0.850 0.096
Si 0.754 0.150 0.904
Si 0.850 0.754 0.603

Values from the calculation:
VASP energy: -13.93 eV/f.u.
formation energy (no corrections): -0.02 eV per atom
space-group type: I4/m (87)

***

Density functional theory data (GGA-PBE) for a geometry-optimized LiTlBiAu structure.

Lattice parameters (Å, degrees): 5.108 5.108 5.108 60.00 60.00 60.00
Positions (direct):
Li 0.000 0.000 0.000
Tl 0.250 0.250 0.250
Bi 0.750 0.750 0.750
Au 0.500 0.500 0.500

Values from the calculation:
VASP energy: -12.05 eV/f.u.
distance to the lowest polymorph of the same formula: 35 meV/atom
formation enthalpy at 0 K: -0.152 eV/atom
space-group type: F-43m (216)

***

Density functional theory data (GGA-PBE) for a geometry-optimized V4Pd7Au structure.

Lattice parameters (Å, degrees): 5.756 5.756 9.131 117.93 117.93 49.63
Positions (direct):
V 0.071 0.071 0.271
V 0.225 0.225 0.821
V 0.775 0.775 0.179
V 0.929 0.929 0.729
Pd 0.000 0.000 0.500
Pd 0.146 0.146 0.060
Pd 0.287 0.287 0.592
Pd 0.431 0.431 0.140
Pd 0.569 0.569 0.860
Pd 0.713 0.713 0.408
Pd 0.854 0.854 0.940
Au 0.500 0.500 0.500

Values from the calculation:
VASP energy: -73.90 eV/f.u.
formation enthalpy at 0 K: 0.184 eV/atom
space-group type: C2/m (12)

***

Density functional theory data (GGA-PBE) for a geometry-optimized BaAlIr2 structure.

Lattice parameters (Å, degrees): 2.947 3.888 7.365 90.00 90.00 90.00
Positions (direct):
Ba 0.000 0.000 0.000
Al 0.500 0.500 0.654
Ir 0.000 0.000 0.474
Ir 0.500 0.500 0.321

Values from the calculation:
VASP energy: -23.05 eV/f.u.
distance to the lowest polymorph of the same formula: 469 meV/atom
formation enthalpy at 0 K: 0.085 eV/atom
space-group type: Pmm2 (25)

***

Density functional theory data (GGA-PBE) for a geometry-optimized Ac2Ag5Pt structure.

Lattice parameters (Å, degrees): 9.010 9.010 10.088 90.00 90.00 151.27
Positions (direct):
Ac 0.000 0.000 0.000
Ac 0.000 0.000 0.500
Ac 0.187 0.813 0.750
Ac 0.813 0.187 0.250
Ag 0.191 0.809 0.113
Ag 0.191 0.809 0.387
Ag 0.354 0.646 0.022
Ag 0.354 0.646 0.478
Ag 0.397 0.603 0.750
Ag 0.603 0.397 0.250
Ag 0.646 0.354 0.522
Ag 0.646 0.354 0.978
Ag 0.809 0.191 0.613
Ag 0.809 0.191 0.887
Pt 0.444 0.556 0.250
Pt 0.556 0.444 0.750

Values from the calculation:
VASP energy: -31.34 eV/f.u.
formation enthalpy at 0 K: -0.353 eV/atom
space-group type: Cmcm (63)

***

Density functional theory data (GGA-PBE) for a geometry-optimized Cs6KRb2S structure.

Lattice parameters (Å, degrees): 11.073 11.073 11.008 119.78 119.78 89.91
Positions (direct):
Cs 0.000 0.000 0.000
Cs 0.000 0.000 0.433
Cs 0.427 0.427 0.426
Cs 0.428 0.428 0.860
Cs 0.429 0.999 0.430
Cs 0.999 0.429 0.430
K 0.715 0.715 0.432
Rb 0.464 0.962 0.928
Rb 0.962 0.464 0.928
S 0.214 0.214 0.430

Values from the calculation:
VASP energy: -14.91 eV/f.u.
formation energy (no corrections): -0.26 eV per atom
space-group type: Cm (8)

***

Density functional theory data (GGA-PBE) for a geometry-optimized ErSeF structure.

Lattice parameters (Å, degrees): 5.162 5.162 5.162 140.69 140.69 56.81
Positions (direct):
Er 0.000 0.000 0.000
Se 0.327 0.327 0.000
F 0.616 0.616 0.000

Values from the calculation:
VASP energy: -16.69 eV/f.u.
formation energy (no corrections): -2.26 eV per atom
space-group type: I4mm (107)

***

Density functional theory data (GGA-PBE) for a geometry-optimized FeMoAs structure.

Lattice parameters (Å, degrees): 5.142 5.142 5.142 146.60 146.60 47.95
Positions (direct):
Fe 0.000 0.000 0.000
Mo 0.678 0.678 0.000
As 0.363 0.363 0.000

Values from the calculation:
VASP energy: -23.66 eV/f.u.
formation enthalpy at 0 K: 0.094 eV/atom
space-group type: I4mm (107)